! Ag2HgS | Alexandria | PBEsol | optimized geometry; values from VASP
&SYSTEM
  ibrav = 0, nat = 16, ntyp = 3
/
ATOMIC_SPECIES
Ag 107.87 Ag.upf
Hg 200.59 Hg.upf
S 32.06 S.upf
CELL_PARAMETERS angstrom
5.248 0.000 0.000
0.000 5.248 0.000
0.000 0.000 14.377
ATOMIC_POSITIONS angstrom
Ag 0.772 1.312 1.797
Ag 1.312 3.397 5.392
Ag 1.312 4.476 12.580
Ag 1.852 1.312 8.986
Ag 3.397 3.936 8.986
Ag 3.936 0.772 12.580
Ag 3.936 1.852 5.392
Ag 4.476 3.936 1.797
Hg 0.000 0.000 7.189
Hg 0.000 2.624 10.783
Hg 2.624 0.000 3.594
Hg 2.624 2.624 0.000
S 0.000 0.000 0.000
S 0.000 2.624 3.594
S 2.624 0.000 10.783
S 2.624 2.624 7.189
! crystal system: tetragonal
! VASP energy: -0.103 Ha/atom
! raw formation energy: 0.088 eV/atom
! space group: I-42d
! size of the total moment: 0.00 Bohr magnetons per cell